[1]
First-principles (PBE) data for a geometry-optimized CsYMgO3 structure, as listed in the Alexandria database.

```
12
Lattice="8.046 0.000 0.000 0.000 3.620 0.000 -3.037 0.000 8.342" Properties=species:S:1:pos:R:3 pbc="T T T"
Cs 1.051 0.905 1.806
Cs 3.958 2.715 6.536
Y 0.091 2.715 7.206
Y 4.919 0.905 1.136
Mg -1.217 0.905 5.117
Mg 6.226 2.715 3.226
O -1.370 0.905 7.067
O -0.497 2.715 4.758
O 3.433 2.715 1.064
O 1.576 0.905 7.278
O 5.506 0.905 3.584
O 6.379 2.715 1.276
```

Computed properties:
E_form (uncorrected) = -2.554 eV per atom

=====

[2]
First-principles (PBE) data for a geometry-optimized LiZn2Re structure, as listed in the Alexandria database.

```
4
Lattice="2.606 0.000 0.000 0.000 2.606 0.000 0.000 0.000 8.566" Properties=species:S:1:pos:R:3 pbc="T T T"
Li 0.000 0.000 0.000
Zn 0.000 0.000 4.318
Zn 1.303 1.303 6.444
Re 1.303 1.303 2.192
```

Computed properties:
Formation enthalpy at 0 K = 54 kJ/mol of formula units
Polymorph energy (0 for the lowest one) = 151.2 meV per atom

=====

[3]
First-principles (PBE) data for a geometry-optimized U3Tl4FeSe8 structure, as listed in the Alexandria database.

```
16
Lattice="4.067 2.348 7.911 -4.067 2.348 7.911 0.000 -4.696 7.911" Properties=species:S:1:pos:R:3 pbc="T T T"
U -2.033 -1.174 7.911
U -2.033 1.174 15.821
U 0.000 2.348 7.911
Tl -4.067 0.000 11.866
Tl -2.033 1.174 3.955
Tl 2.033 1.174 3.955
Tl 0.000 0.000 11.866
Fe 0.000 0.000 0.000
Se 0.000 -2.450 9.472
Se -2.122 1.225 9.472
Se -2.122 -1.225 14.260
Se 0.000 0.000 6.248
Se 0.000 0.000 17.484
Se 2.122 1.225 9.472
Se 2.122 -1.225 14.260
Se 0.000 2.450 14.260
```

Computed properties:
E_form (uncorrected) = -0.716 eV per atom

=====

[4]
First-principles (PBE) data for a geometry-optimized LaScGePd structure, as listed in the Alexandria database.

```
16
Lattice="7.109 0.000 0.000 0.000 7.109 0.000 0.000 0.000 7.109" Properties=species:S:1:pos:R:3 pbc="T T T"
La 0.000 0.000 0.000
La 0.000 3.554 3.554
La 3.554 0.000 3.554
La 3.554 3.554 0.000
Sc 0.000 0.000 3.554
Sc 0.000 3.554 0.000
Sc 3.554 0.000 0.000
Sc 3.554 3.554 3.554
Ge 1.777 1.777 1.777
Ge 1.777 5.331 5.331
Ge 5.331 1.777 5.331
Ge 5.331 5.331 1.777
Pd 1.777 1.777 5.331
Pd 1.777 5.331 1.777
Pd 5.331 1.777 1.777
Pd 5.331 5.331 5.331
```

Computed properties:
Formation enthalpy at 0 K = -271 kJ/mol of formula units

=====

[5]
First-principles (PBE) data for a geometry-optimized LiNp2Ge3Pt4 structure, as listed in the Alexandria database.

```
10
Lattice="4.062 0.000 0.000 0.000 4.062 0.000 0.000 0.000 11.196" Properties=species:S:1:pos:R:3 pbc="T T T"
Li 0.000 0.000 0.000
Np 0.000 2.031 8.429
Np 2.031 0.000 2.767
Ge 0.000 2.031 4.067
Ge 2.031 0.000 7.129
Ge 2.031 2.031 0.000
Pt 0.000 0.000 5.598
Pt 0.000 2.031 1.604
Pt 2.031 0.000 9.591
Pt 2.031 2.031 5.598
```

Computed properties:
Formation enthalpy at 0 K = -537 kJ/mol of formula units

=====

[6]
First-principles (PBE) data for a geometry-optimized ZrZn2 structure, as listed in the Alexandria database.

```
12
Lattice="10.734 0.000 0.000 0.000 2.777 0.000 -0.482 0.000 7.139" Properties=species:S:1:pos:R:3 pbc="T T T"
Zr 0.000 0.000 0.000
Zr 2.369 1.388 2.172
Zr 5.367 1.388 0.000
Zr 7.736 0.000 2.172
Zn -0.107 0.000 2.931
Zn 1.082 1.388 4.939
Zn 2.365 0.000 6.843
Zn 3.663 0.000 4.602
Zn 5.260 1.388 2.931
Zn 6.450 0.000 4.939
Zn 7.732 1.388 6.843
Zn 9.030 1.388 4.602
```

Computed properties:
Formation enthalpy at 0 K = -25 kJ/mol of formula units